<i>
# Sr2Nb2Se, optimized geometry, DFT PBE-GGA
# **Fermi-level density of states**: 10.0 states/eV per cell
# **Volume**: 337.38 Å³/cell
# **Crystal system**: tetragonal
data_Sr2Nb2Se
_chemical_formula_sum 'Sr4 Nb4 Se2'
_cell_length_a 8.7380
_cell_length_b 8.7380
_cell_length_c 4.4187
_cell_angle_alpha 90.00
_cell_angle_beta 90.00
_cell_angle_gamma 90.00
_symmetry_space_group_name_H-M 'P 4/m b m'
_symmetry_Int_Tables_number 127
_symmetry_space_group_name_Hall '-P 4 2ab'
loop_
_atom_site_label
_atom_site_fract_x
_atom_site_fract_y
_atom_site_fract_z
Sr1 0.2000 0.3000 0.0000
Nb1 0.0870 0.5870 0.5000
Se1 0.0000 0.0000 0.0000



<ii>
# Sr2Nb2Se, optimized geometry, DFT PBE-GGA
# **Fermi-level density of states**: 8.5 states/eV per cell
# **Volume**: 282.77 Å³/cell
# **Crystal system**: tetragonal
data_Sr2Nb2Se
_chemical_formula_sum 'Sr4 Nb4 Se2'
_cell_length_a 3.7639
_cell_length_b 3.7639
_cell_length_c 19.9605
_cell_angle_alpha 90.00
_cell_angle_beta 90.00
_cell_angle_gamma 90.00
_symmetry_space_group_name_H-M 'I 4/m m m'
_symmetry_Int_Tables_number 139
_symmetry_space_group_name_Hall '-I 4 2'
loop_
_atom_site_label
_atom_site_fract_x
_atom_site_fract_y
_atom_site_fract_z
Sr1 0.0000 0.0000 0.0924
Nb1 0.0000 0.5000 0.2500
Se1 0.0000 0.0000 0.5000



<ii> has the most favorable energy; the next structure is 771 meV per atom above.



<i>
# Ta2NbSe5, optimized geometry, DFT PBE-GGA
# **Fermi-level density of states**: 5.0 states/eV per cell
# **Volume**: 695.46 Å³/cell
# **Crystal system**: orthorhombic
data_Ta2NbSe5
_chemical_formula_sum 'Ta8 Nb4 Se20'
_cell_length_a 5.0301
_cell_length_b 12.0642
_cell_length_c 11.4603
_cell_angle_alpha 90.00
_cell_angle_beta 90.00
_cell_angle_gamma 90.00
_symmetry_space_group_name_H-M 'C m c m'
_symmetry_Int_Tables_number 63
_symmetry_space_group_name_Hall '-C 2c 2'
loop_
_atom_site_label
_atom_site_fract_x
_atom_site_fract_y
_atom_site_fract_z
Ta1 0.0000 0.1465 0.1108
Nb1 0.0000 0.2413 0.7500
Se1 0.0000 0.0611 0.6127
Se2 0.0000 0.3177 0.2500
Se3 0.0000 0.3331 0.5433



<ii>
# Ta2NbSe5, optimized geometry, DFT PBE-GGA
# **Fermi-level density of states**: 14.3 states/eV per cell
# **Volume**: 870.75 Å³/cell
# **Crystal system**: orthorhombic
data_Ta2NbSe5
_chemical_formula_sum 'Ta8 Nb4 Se20'
_cell_length_a 4.7401
_cell_length_b 13.3973
_cell_length_c 13.7117
_cell_angle_alpha 90.00
_cell_angle_beta 90.00
_cell_angle_gamma 90.00
_symmetry_space_group_name_H-M 'F m m m'
_symmetry_Int_Tables_number 69
_symmetry_space_group_name_Hall '-F 2 2'
loop_
_atom_site_label
_atom_site_fract_x
_atom_site_fract_y
_atom_site_fract_z
Ta1 0.0000 0.0000 0.1886
Nb1 0.0000 0.0000 0.5000
Se1 0.0000 0.0000 0.0000
Se2 0.0000 0.1221 0.3369



<i> has the most favorable energy; the next structure is 95 meV per atom above.



<i>
# TaNbSe, optimized geometry, DFT PBE-GGA
# **Fermi-level density of states**: 9.4 states/eV per cell
# **Volume**: 231.79 Å³/cell
# **Crystal system**: monoclinic
data_TaNbSe
_chemical_formula_sum 'Ta4 Nb4 Se4'
_cell_length_a 11.2787
_cell_length_b 3.1547
_cell_length_c 7.8756
_cell_angle_alpha 90.00
_cell_angle_beta 124.19
_cell_angle_gamma 90.00
_symmetry_space_group_name_H-M 'C 1 2/m 1'
_symmetry_Int_Tables_number 12
loop_
_symmetry_equiv_pos_as_xyz
'x,y,z'
'-x,-y,-z'
'-x,y,-z'
'x,-y,z'
'x+1/2,y+1/2,z'
'-x+1/2,-y+1/2,-z'
'-x+1/2,y+1/2,-z'
'x+1/2,-y+1/2,z'
loop_
_atom_site_label
_atom_site_fract_x
_atom_site_fract_y
_atom_site_fract_z
Ta1 0.1517 0.0000 0.1770
Nb1 0.1230 0.0000 0.8123
Se1 0.1023 0.5000 0.4123



<ii>
# TaNbSe, optimized geometry, DFT PBE-GGA
# **Fermi-level density of states**: 3.3 states/eV per cell
# **Volume**: 117.74 Å³/cell
# **Crystal system**: tetragonal
data_TaNbSe
_chemical_formula_sum 'Ta2 Nb2 Se2'
_cell_length_a 3.3966
_cell_length_b 3.3966
_cell_length_c 10.2054
_cell_angle_alpha 90.00
_cell_angle_beta 90.00
_cell_angle_gamma 90.00
_symmetry_space_group_name_H-M 'P 4/n m m'
_symmetry_Int_Tables_number 129
loop_
_symmetry_equiv_pos_as_xyz
'x,y,z'
'-x,-y,-z'
'-y+1/2,x,z'
'y+1/2,-x,-z'
'-x+1/2,-y+1/2,z'
'x+1/2,y+1/2,-z'
'y,-x+1/2,z'
'-y,x+1/2,-z'
'x+1/2,-y,-z'
'-x+1/2,y,z'
'-y,-x,-z'
'y,x,z'
'-x,y+1/2,-z'
'x,-y+1/2,z'
'y+1/2,x+1/2,-z'
'-y+1/2,-x+1/2,z'
loop_
_atom_site_label
_atom_site_fract_x
_atom_site_fract_y
_atom_site_fract_z
Ta1 0.2500 0.2500 0.0752
Nb1 0.2500 0.2500 0.7618
Se1 0.2500 0.2500 0.3561



<ii> has the most favorable energy; the next structure is 457 meV per atom above.



<i>
# NbTc3Se, optimized geometry, DFT PBE-GGA
# **Fermi-level density of states**: 4.5 states/eV per cell
# **Volume**: 90.32 Å³/cell
# **Crystal system**: cubic
data_NbTc3Se
_chemical_formula_sum 'Nb1 Tc3 Se1'
_cell_length_a 4.4867
_cell_length_b 4.4867
_cell_length_c 4.4867
_cell_angle_alpha 90.00
_cell_angle_beta 90.00
_cell_angle_gamma 90.00
_symmetry_space_group_name_H-M 'P m -3 m'
_symmetry_Int_Tables_number 221
_symmetry_space_group_name_Hall '-P 4 2 3'
loop_
_atom_site_label
_atom_site_fract_x
_atom_site_fract_y
_atom_site_fract_z
Nb1 0.0000 0.0000 0.0000
Tc1 0.0000 0.5000 0.5000
Se1 0.5000 0.5000 0.5000



<ii>
# NbTc3Se, optimized geometry, DFT PBE-GGA
# **Fermi-level density of states**: 7.6 states/eV per cell
# **Volume**: 108.42 Å³/cell
# **Crystal system**: cubic
data_NbTc3Se
_chemical_formula_sum 'Nb1 Tc3 Se1'
_cell_length_a 4.7684
_cell_length_b 4.7684
_cell_length_c 4.7684
_cell_angle_alpha 90.00
_cell_angle_beta 90.00
_cell_angle_gamma 90.00
_symmetry_space_group_name_H-M 'P m -3 m'
_symmetry_Int_Tables_number 221
_symmetry_space_group_name_Hall '-P 4 2 3'
loop_
_atom_site_label
_atom_site_fract_x
_atom_site_fract_y
_atom_site_fract_z
Nb1 0.0000 0.0000 0.0000
Tc1 0.0000 0.0000 0.5000
Se1 0.5000 0.5000 0.5000



<i> has the most favorable energy; the next structure is 951 meV per atom above.



<i>
# Nb3TcSe, optimized geometry, DFT PBE-GGA
# **Fermi-level density of states**: 5.7 states/eV per cell
# **Volume**: 112.97 Å³/cell
# **Crystal system**: cubic
data_Nb3TcSe
_chemical_formula_sum 'Nb3 Tc1 Se1'
_cell_length_a 4.8342
_cell_length_b 4.8342
_cell_length_c 4.8342
_cell_angle_alpha 90.00
_cell_angle_beta 90.00
_cell_angle_gamma 90.00
_symmetry_space_group_name_H-M 'P m -3 m'
_symmetry_Int_Tables_number 221
_symmetry_space_group_name_Hall '-P 4 2 3'
loop_
_atom_site_label
_atom_site_fract_x
_atom_site_fract_y
_atom_site_fract_z
Nb1 0.0000 0.0000 0.5000
Tc1 0.0000 0.0000 0.0000
Se1 0.5000 0.5000 0.5000



<ii>
# Nb3TcSe, optimized geometry, DFT PBE-GGA
# **Fermi-level density of states**: 8.9 states/eV per cell
# **Volume**: 102.20 Å³/cell
# **Crystal system**: cubic
data_Nb3TcSe
_chemical_formula_sum 'Nb3 Tc1 Se1'
_cell_length_a 4.6754
_cell_length_b 4.6754
_cell_length_c 4.6754
_cell_angle_alpha 90.00
_cell_angle_beta 90.00
_cell_angle_gamma 90.00
_symmetry_space_group_name_H-M 'P m -3 m'
_symmetry_Int_Tables_number 221
_symmetry_space_group_name_Hall '-P 4 2 3'
loop_
_atom_site_label
_atom_site_fract_x
_atom_site_fract_y
_atom_site_fract_z
Nb1 0.0000 0.0000 0.5000
Tc1 0.5000 0.5000 0.5000
Se1 0.0000 0.0000 0.0000



<ii> has the most favorable energy; the next structure is 52 meV per atom above.



<i>
# Nb2TeSe, optimized geometry, DFT PBE-GGA
# **Fermi-level density of states**: 2.7 states/eV per cell
# **Volume**: 80.13 Å³/cell
# **Crystal system**: orthorhombic
data_Nb2TeSe
_chemical_formula_sum 'Nb2 Te1 Se1'
_cell_length_a 3.5509
_cell_length_b 3.5996
_cell_length_c 6.2687
_cell_angle_alpha 90.00
_cell_angle_beta 90.00
_cell_angle_gamma 90.00
_symmetry_space_group_name_H-M 'P m m 2'
_symmetry_Int_Tables_number 25
loop_
_symmetry_equiv_pos_as_xyz
'x,y,z'
'-x,-y,z'
'-x,y,z'
'x,-y,z'
loop_
_atom_site_label
_atom_site_fract_x
_atom_site_fract_y
_atom_site_fract_z
Nb1 0.0000 0.0000 0.0000
Nb2 0.5000 0.0000 0.4311
Te1 0.5000 0.5000 0.7934
Se1 0.0000 0.5000 0.3030



<ii>
# Nb2TeSe, optimized geometry, DFT PBE-GGA
# **Fermi-level density of states**: 19.7 states/eV per cell
# **Volume**: 298.75 Å³/cell
# **Crystal system**: cubic
data_Nb2TeSe
_chemical_formula_sum 'Nb8 Te4 Se4'
_cell_length_a 6.6850
_cell_length_b 6.6850
_cell_length_c 6.6850
_cell_angle_alpha 90.00
_cell_angle_beta 90.00
_cell_angle_gamma 90.00
_symmetry_space_group_name_H-M 'F m -3 m'
_symmetry_Int_Tables_number 225
_symmetry_space_group_name_Hall '-F 4 2 3'
loop_
_atom_site_label
_atom_site_fract_x
_atom_site_fract_y
_atom_site_fract_z
Nb1 0.2500 0.2500 0.2500
Te1 0.0000 0.0000 0.0000
Se1 0.0000 0.0000 0.5000



<i> has the most favorable energy; the next structure is 181 meV per atom above.